Density functional theory data (GGA-PBE) for an optimized crystal structure of LaBeB2Rh.

**Energy of formation**: 12.2 eV per formula unit
**Space group**: No. 123
**VASP energy**: -17.1 eV per cell

Lattice parameters (Å, degrees): 4.404 4.779 4.404 90.00 90.00 90.00
Element x y z (fractional)
B1 0.000 0.000 0.500
B2 0.500 0.000 0.000
Rh1 0.500 0.500 0.500
Be1 0.000 0.500 0.000
La1 0.000 0.000 0.000